[1]
## AcEr2Zr (PBE)

Data for crystalline AcEr2Zr at its relaxed geometry.

Lattice parameters (Å, degrees): 4.9549 4.9549 5.0341 90.00 90.00 90.00
Space group P4/mmm (No. 123)
Inequivalent atoms, fractional coordinates:
Ac: 0.0000 0.0000 0.0000
Er: 0.0000 0.5000 0.5000
Zr: 0.5000 0.5000 0.0000

Values from the calculation:
* energy above the most stable polymorph in this dataset: 0.5 kJ per mole of atoms
* spin magnetization: 0.0 μB/cell

---

[2]
## AcEr2Zr (PBE)

Data for crystalline AcEr2Zr at its relaxed geometry.

Lattice parameters (Å, degrees): 3.5605 3.5605 34.3866 90.00 90.00 120.00
Space group R3m (No. 160, hexagonal axes)
Inequivalent atoms, fractional coordinates:
Ac: 0.0000 0.0000 0.0000
Er: 0.0000 0.0000 0.2419
Er: 0.0000 0.0000 0.4259
Zr: 0.0000 0.0000 0.8342

Values from the calculation:
* energy above the most stable polymorph in this dataset: 0.0 kJ per mole of atoms
* spin magnetization: 0.0 μB/cell

---

[3]
## AcEu (PBE)

Data for crystalline AcEu at its relaxed geometry.

Lattice parameters (Å, degrees): 7.1581 7.1581 7.1581 90.00 90.00 90.00
Space group Fm-3m (No. 225)
Inequivalent atoms, fractional coordinates:
Ac: 0.0000 0.0000 0.0000
Eu: 0.0000 0.0000 0.5000

Values from the calculation:
* energy above the most stable polymorph in this dataset: 54.3 kJ per mole of atoms
* spin magnetization: 31.6 μB/cell

---

[4]
## AcEu2 (PBE)

Data for crystalline AcEu2 at its relaxed geometry.

Lattice parameters (Å, degrees): 3.9447 3.9447 16.5296 90.00 90.00 90.00
Space group I4/mmm (No. 139)
Inequivalent atoms, fractional coordinates:
Ac: 0.0000 0.0000 0.0000
Eu: 0.0000 0.0000 0.3318

Values from the calculation:
* energy above the most stable polymorph in this dataset: 0.0 kJ per mole of atoms
* spin magnetization: 29.8 μB/cell

---

[5]
## Ac6Eu (PBE)

Data for crystalline Ac6Eu at its relaxed geometry.

Lattice parameters (Å, degrees): 9.5335 9.5335 9.5335 90.00 90.00 90.00
Space group Im-3m (No. 229)
Inequivalent atoms, fractional coordinates:
Ac: 0.0000 0.2500 0.5000
Eu: 0.0000 0.0000 0.0000

Values from the calculation:
* E: -51.82 eV for the cell shown
* spin magnetization: 14.2 μB/cell

---

[6]
## Ac3Eu (PBE)

Data for crystalline Ac3Eu at its relaxed geometry.

Lattice parameters (Å, degrees): 4.0111 6.4221 6.9087 90.00 90.00 90.00
Space group Pmm2 (No. 25)
Inequivalent atoms, fractional coordinates:
Ac: 0.0000 0.0000 0.0000
Ac: 0.0000 0.5000 0.3325
Ac: 0.5000 0.0000 0.4949
Eu: 0.5000 0.5000 0.8289

Values from the calculation:
* E: -22.49 eV for the cell shown
* spin magnetization: 7.3 μB/cell

---

[7]
## AcEu (PBE)

Data for crystalline AcEu at its relaxed geometry.

Lattice parameters (Å, degrees): 3.9339 5.6485 7.8482 90.00 90.07 90.00
Space group P2_1/m (No. 11)
Inequivalent atoms, fractional coordinates:
Ac: 0.2494 0.2500 0.3776
Eu: 0.2507 0.2500 0.8752

Values from the calculation:
* energy above the most stable polymorph in this dataset: 0.0 kJ per mole of atoms
* spin magnetization: 15.1 μB/cell

---

[8]
## Ac3Eu (PBE)

Data for crystalline Ac3Eu at its relaxed geometry.

Lattice parameters (Å, degrees): 4.0200 12.8218 6.9284 90.00 90.00 90.00
Space group Imm2 (No. 44)
Inequivalent atoms, fractional coordinates:
Ac: 0.0000 0.0000 0.0000
Ac: 0.0000 0.2520 0.6634
Eu: 0.0000 0.5000 0.0002

Values from the calculation:
* E: -45.00 eV for the cell shown
* spin magnetization: 14.7 μB/cell

---

[9]
## Ac3Eu (PBE)

Data for crystalline Ac3Eu at its relaxed geometry.

Lattice parameters (Å, degrees): 5.6046 5.6046 5.6046 90.00 90.00 90.00
Space group Pm-3m (No. 221)
Inequivalent atoms, fractional coordinates:
Ac: 0.0000 0.0000 0.5000
Eu: 0.5000 0.5000 0.5000

Values from the calculation:
* E: -22.51 eV for the cell shown
* spin magnetization: 7.6 μB/cell

---

[10]
## AcEu (PBE)

Data for crystalline AcEu at its relaxed geometry.

Lattice parameters (Å, degrees): 4.4228 4.4228 4.4228 90.00 90.00 90.00
Space group Pm-3m (No. 221)
Inequivalent atoms, fractional coordinates:
Ac: 0.0000 0.0000 0.0000
Eu: 0.5000 0.5000 0.5000

Values from the calculation:
* energy above the most stable polymorph in this dataset: 2.2 kJ per mole of atoms
* spin magnetization: 7.7 μB/cell

---

[11]
## Ac3Eu (PBE)

Data for crystalline Ac3Eu at its relaxed geometry.

Lattice parameters (Å, degrees): 8.9512 8.9512 8.9512 90.00 90.00 90.00
Space group Fm-3m (No. 225)
Inequivalent atoms, fractional coordinates:
Ac: 0.0000 0.0000 0.0000
Ac: 0.2500 0.2500 0.2500
Eu: 0.0000 0.0000 0.5000

Values from the calculation:
* E: -88.85 eV for the cell shown
* spin magnetization: 33.4 μB/cell

---

[12]
## Ac3Eu (PBE)

Data for crystalline Ac3Eu at its relaxed geometry.

Lattice parameters (Å, degrees): 8.0106 8.0106 6.4161 90.00 90.00 120.00
Space group P6_3/mmc (No. 194)
Inequivalent atoms, fractional coordinates:
Ac: 0.1662 0.3324 0.2500
Eu: 0.3333 0.6667 0.7500

Values from the calculation:
* E: -44.89 eV for the cell shown
* spin magnetization: 15.1 μB/cell

---

[13]
## AcEu2 (PBE)

Data for crystalline AcEu2 at its relaxed geometry.

Lattice parameters (Å, degrees): 10.1652 10.1652 10.1652 90.00 90.00 90.00
Space group Fd-3m (No. 227, origin choice 2)
Inequivalent atoms, fractional coordinates:
Ac: 0.1250 0.1250 0.1250
Eu: 0.0000 0.0000 0.5000

Values from the calculation:
* energy above the most stable polymorph in this dataset: 14.6 kJ per mole of atoms
* spin magnetization: 127.8 μB/cell

---

[14]
## Ac5Eu (PBE)

Data for crystalline Ac5Eu at its relaxed geometry.

Lattice parameters (Å, degrees): 5.6280 16.7905 5.6643 90.00 90.00 90.00
Space group Cmmm (No. 65)
Inequivalent atoms, fractional coordinates:
Ac: 0.0000 0.0000 0.0000
Ac: 0.0000 0.1676 0.5000
Ac: 0.0000 0.3313 0.0000
Eu: 0.0000 0.5000 0.5000

Values from the calculation:
* E: -61.44 eV for the cell shown
* spin magnetization: 15.7 μB/cell

---

[15]
## Ac2EuF (PBE)

Data for crystalline Ac2EuF at its relaxed geometry.

Lattice parameters (Å, degrees): 4.0181 4.0181 31.4412 90.00 90.00 120.00
Space group R-3m (No. 166, hexagonal axes)
Inequivalent atoms, fractional coordinates:
Ac: 0.0000 0.0000 0.1169
Eu: 0.0000 0.0000 0.0000
F: 0.0000 0.0000 0.5000

Values from the calculation:
* uncorrected formation energy: -0.9722 eV per atom
* spin magnetization: 23.1 μB/cell

---

[16]
## AcEuF2 (PBE)

Data for crystalline AcEuF2 at its relaxed geometry.

Lattice parameters (Å, degrees): 4.1529 4.1529 20.2458 90.00 90.00 120.00
Space group R-3m (No. 166, hexagonal axes)
Inequivalent atoms, fractional coordinates:
Ac: 0.0000 0.0000 0.0000
Eu: 0.0000 0.0000 0.5000
F: 0.0000 0.0000 0.1265

Values from the calculation:
* uncorrected formation energy: -2.7236 eV per atom
* spin magnetization: 23.5 μB/cell

---

[17]
## AcEuPF (PBE)

Data for crystalline AcEuPF at its relaxed geometry.

Lattice parameters (Å, degrees): 7.1564 7.1564 7.1564 90.00 90.00 90.00
Space group F-43m (No. 216)
Inequivalent atoms, fractional coordinates:
Ac: 0.0000 0.0000 0.0000
Eu: 0.0000 0.0000 0.5000
P: 0.2500 0.2500 0.2500
F: 0.2500 0.2500 0.7500

Values from the calculation:
* uncorrected formation energy: -1.7535 eV per atom
* spin magnetization: 30.9 μB/cell

---

[18]
## Ac3EuFe (PBE)

Data for crystalline Ac3EuFe at its relaxed geometry.

Lattice parameters (Å, degrees): 5.7420 5.7420 5.7420 90.00 90.00 90.00
Space group Pm-3m (No. 221)
Inequivalent atoms, fractional coordinates:
Ac: 0.0000 0.0000 0.5000
Eu: 0.5000 0.5000 0.5000
Fe: 0.0000 0.0000 0.0000

Values from the calculation:
* E: -30.47 eV for the cell shown
* spin magnetization: 7.3 μB/cell

---

[19]
## AcEuGa (PBE)

Data for crystalline AcEuGa at its relaxed geometry.

Lattice parameters (Å, degrees): 3.9091 3.9091 13.2312 90.00 90.00 90.00
Space group I4mm (No. 107)
Inequivalent atoms, fractional coordinates:
Ac: 0.0000 0.0000 0.0000
Eu: 0.0000 0.0000 0.7283
Ga: 0.0000 0.0000 0.3569

Values from the calculation:
* energy above the most stable polymorph in this dataset: 0.0 kJ per mole of atoms
* spin magnetization: 14.8 μB/cell

---

[20]
## AcEuGa4 (PBE)

Data for crystalline AcEuGa4 at its relaxed geometry.

Lattice parameters (Å, degrees): 8.1781 8.1781 8.1781 90.00 90.00 90.00
Space group F-43m (No. 216)
Inequivalent atoms, fractional coordinates:
Ac: 0.0000 0.0000 0.0000
Eu: 0.2500 0.2500 0.7500
Ga: 0.1246 0.1246 0.3754

Values from the calculation:
* E: -117.60 eV for the cell shown
* spin magnetization: 28.4 μB/cell

---

[21]
## AcEuGa (PBE)

Data for crystalline AcEuGa at its relaxed geometry.

Lattice parameters (Å, degrees): 7.5892 7.5892 7.5892 90.00 90.00 90.00
Space group F-43m (No. 216)
Inequivalent atoms, fractional coordinates:
Ac: 0.0000 0.0000 0.0000
Eu: 0.0000 0.0000 0.5000
Ga: 0.2500 0.2500 0.7500

Values from the calculation:
* energy above the most stable polymorph in this dataset: 7.1 kJ per mole of atoms
* spin magnetization: 29.2 μB/cell

---

[22]
## AcEuGa (PBE)

Data for crystalline AcEuGa at its relaxed geometry.

Lattice parameters (Å, degrees): 5.3043 5.3043 4.0488 90.00 90.00 120.00
Space group P3m1 (No. 156)
Inequivalent atoms, fractional coordinates:
Ac: 0.0000 0.0000 0.0000
Eu: 0.3333 0.6667 0.5459
Ga: 0.6667 0.3333 0.3511

Values from the calculation:
* energy above the most stable polymorph in this dataset: 9.6 kJ per mole of atoms
* spin magnetization: 7.1 μB/cell

---

[23]
## AcEuGaI (PBE)

Data for crystalline AcEuGaI at its relaxed geometry.

Lattice parameters (Å, degrees): 8.0274 8.0274 8.0274 90.00 90.00 90.00
Space group F-43m (No. 216)
Inequivalent atoms, fractional coordinates:
Ac: 0.0000 0.0000 0.0000
Eu: 0.0000 0.0000 0.5000
Ga: 0.2500 0.2500 0.7500
I: 0.2500 0.2500 0.2500

Values from the calculation:
* uncorrected formation energy: -0.5640 eV per atom
* spin magnetization: 28.4 μB/cell

---

[24]
## AcLaEuGa (PBE)

Data for crystalline AcLaEuGa at its relaxed geometry.

Lattice parameters (Å, degrees): 8.0696 8.0696 8.0696 90.00 90.00 90.00
Space group F-43m (No. 216)
Inequivalent atoms, fractional coordinates:
Ac: 0.0000 0.0000 0.0000
La: 0.2500 0.2500 0.2500
Eu: 0.2500 0.2500 0.7500
Ga: 0.0000 0.0000 0.5000

Values from the calculation:
* E: -89.13 eV for the cell shown
* spin magnetization: 33.4 μB/cell

---

[25]
## AcEuLuGa (PBE)

Data for crystalline AcEuLuGa at its relaxed geometry.

Lattice parameters (Å, degrees): 7.8761 7.8761 7.8761 90.00 90.00 90.00
Space group F-43m (No. 216)
Inequivalent atoms, fractional coordinates:
Ac: 0.0000 0.0000 0.0000
Eu: 0.2500 0.2500 0.2500
Lu: 0.2500 0.2500 0.7500
Ga: 0.0000 0.0000 0.5000

Values from the calculation:
* E: -86.33 eV for the cell shown
* spin magnetization: 32.4 μB/cell

---

[26]
## AcEuMgGa (PBE)

Data for crystalline AcEuMgGa at its relaxed geometry.

Lattice parameters (Å, degrees): 7.8916 7.8916 7.8916 90.00 90.00 90.00
Space group F-43m (No. 216)
Inequivalent atoms, fractional coordinates:
Ac: 0.0000 0.0000 0.0000
Eu: 0.0000 0.0000 0.5000
Mg: 0.2500 0.2500 0.7500
Ga: 0.2500 0.2500 0.2500

Values from the calculation:
* E: -80.22 eV for the cell shown
* spin magnetization: 29.3 μB/cell

---

[27]
## NaAcEuGa (PBE)

Data for crystalline NaAcEuGa at its relaxed geometry.

Lattice parameters (Å, degrees): 7.9918 7.9918 7.9918 90.00 90.00 90.00
Space group F-43m (No. 216)
Inequivalent atoms, fractional coordinates:
Na: 0.0000 0.0000 0.0000
Ac: 0.2500 0.2500 0.7500
Eu: 0.2500 0.2500 0.2500
Ga: 0.0000 0.0000 0.5000

Values from the calculation:
* E: -76.86 eV for the cell shown
* spin magnetization: 29.5 μB/cell

---

[28]
## AcEuGaNi (PBE)

Data for crystalline AcEuGaNi at its relaxed geometry.

Lattice parameters (Å, degrees): 7.4622 7.4622 7.4622 90.00 90.00 90.00
Space group F-43m (No. 216)
Inequivalent atoms, fractional coordinates:
Ac: 0.0000 0.0000 0.0000
Eu: 0.0000 0.0000 0.5000
Ga: 0.2500 0.2500 0.2500
Ni: 0.2500 0.2500 0.7500

Values from the calculation:
* E: -96.32 eV for the cell shown
* spin magnetization: 27.7 μB/cell

---

[29]
## AcEuGaPb (PBE)

Data for crystalline AcEuGaPb at its relaxed geometry.

Lattice parameters (Å, degrees): 7.9796 7.9796 7.9796 90.00 90.00 90.00
Space group F-43m (No. 216)
Inequivalent atoms, fractional coordinates:
Ac: 0.0000 0.0000 0.0000
Eu: 0.0000 0.0000 0.5000
Ga: 0.2500 0.2500 0.2500
Pb: 0.2500 0.2500 0.7500

Values from the calculation:
* E: -91.72 eV for the cell shown
* spin magnetization: 28.9 μB/cell

---

[30]
## AcEuGaPd (PBE)

Data for crystalline AcEuGaPd at its relaxed geometry.

Lattice parameters (Å, degrees): 7.5728 7.5728 7.5728 90.00 90.00 90.00
Space group F-43m (No. 216)
Inequivalent atoms, fractional coordinates:
Ac: 0.0000 0.0000 0.0000
Eu: 0.0000 0.0000 0.5000
Ga: 0.2500 0.2500 0.2500
Pd: 0.2500 0.2500 0.7500

Values from the calculation:
* E: -98.94 eV for the cell shown
* spin magnetization: 27.9 μB/cell